Version A
Entry from OQMD: a relaxed Rb2AgPbF6 crystal (PBE-GGA).

Cell: 6.299 6.304 8.921 Å, 90.02 90.00 90.01°
Space group P-1 (No. 2)
Asymmetric unit:
Rb 0.000 0.000 0.250 x2
Rb 0.500 0.500 0.250 x2
Ag 0.000 0.500 0.000 x1
Ag 0.500 0.000 0.500 x1
Pb 0.000 0.500 0.500 x1
Pb 0.500 0.000 0.000 x1
F 0.001 0.500 0.248 x2
F 0.244 0.751 0.999 x2
F 0.246 0.242 0.500 x2
F 0.251 0.255 0.999 x2
F 0.259 0.746 0.501 x2
F 0.498 0.000 0.252 x2


Version B
Entry from OQMD: a relaxed Rb2AgPbF6 crystal (PBE-GGA).

Cell: 6.318 6.308 10.947 Å, 90.00 125.20 90.00°
Space group P2_1/c (No. 14)
Asymmetric unit:
Rb 0.246 0.026 0.250 x4
Ag 0.000 0.000 0.500 x2
Pb 0.500 0.000 0.000 x2
F 0.179 0.212 0.968 x4
F 0.256 0.710 0.968 x4
F 0.312 0.013 0.749 x4


Version C
Entry from OQMD: a relaxed Rb2AgPbF6 crystal (PBE-GGA).

Cell: 6.2237 6.2237 31.9935 Å, 90.00 90.00 120.00°
Space group R-3m (No. 166, hexagonal axes)
Asymmetric unit:
Rb 0.0000 0.0000 0.1341 x6
Rb 0.0000 0.0000 0.2785 x6
Ag 0.0000 0.0000 0.4119 x6
Pb 0.0000 0.0000 0.0000 x3
Pb 0.0000 0.0000 0.5000 x3
F 0.0083 0.5042 0.7058 x18
F 0.0241 0.5121 0.8768 x18


Of them, version C has the lowest stability.


Version A
Entry from OQMD: a relaxed Rb2AgPbF6 crystal (PBE-GGA).

Cell: 6.2883 6.2883 15.4774 Å, 90.00 90.00 120.00°
Space group R-3 (No. 148, hexagonal axes)
Asymmetric unit:
Rb 0.0000 0.0000 0.2501 x6
Ag 0.0000 0.0000 0.0000 x3
Pb 0.0000 0.0000 0.5000 x3
F 0.0031 0.5027 0.7489 x18


Version B
Entry from OQMD: a relaxed Rb2AgPbF6 crystal (PBE-GGA).

Cell: 6.250 6.250 9.102 Å, 90.00 90.00 90.00°
Space group I4/m (No. 87)
Asymmetric unit:
Rb 0.000 0.500 0.250 x4
Ag 0.000 0.000 0.000 x2
Pb 0.000 0.000 0.500 x2
F 0.000 0.000 0.249 x4
F 0.191 0.307 0.000 x8


Of them, version A has the lowest stability.


Version A
Entry from OQMD: a relaxed Rb2AgPbF6 crystal (PBE-GGA).

Cell: 10.905 6.308 6.299 Å, 90.00 125.18 90.00°
Space group C2/m (No. 12)
Asymmetric unit:
Rb 0.250 0.000 0.250 x4
Ag 0.000 0.000 0.500 x2
Pb 0.000 0.500 0.000 x2
F 0.001 0.248 0.748 x8
F 0.247 0.000 0.747 x4


Version B
Entry from OQMD: a relaxed Rb2AgPbF6 crystal (PBE-GGA).

Cell: 9.021 9.021 9.021 Å, 90.00 90.00 90.00°
Space group Fm-3m (No. 225)
Asymmetric unit:
Rb 0.250 0.250 0.250 x8
Ag 0.000 0.000 0.000 x4
Pb 0.000 0.000 0.500 x4
F 0.000 0.000 0.249 x24


Of them, version A has the lowest stability.


Version A
Entry from OQMD: a relaxed AgPdF6 crystal (PBE-GGA).

Cell: 7.442 7.442 7.442 Å, 90.00 90.00 90.00°
Space group F-43m (No. 216)
Asymmetric unit:
Ag 0.000 0.000 0.000 x4
Pd 0.250 0.250 0.750 x4
F 0.006 0.250 0.250 x24


Version B
Entry from OQMD: a relaxed AgPdF6 crystal (PBE-GGA).

Cell: 4.8178 4.8178 13.5038 Å, 90.00 90.00 120.00°
Space group R-3 (No. 148, hexagonal axes)
Asymmetric unit:
Ag 0.0000 0.0000 0.0000 x3
Pd 0.0000 0.0000 0.5000 x3
F 0.0197 0.3855 0.9134 x18


Of them, version A has the lowest stability.


Version A
Entry from OQMD: a relaxed AgPtF3 crystal (PBE-GGA).

Cell: 5.9073 5.9073 13.4343 Å, 90.00 90.00 120.00°
Space group R-3c (No. 167, hexagonal axes)
Asymmetric unit:
Ag 0.0000 0.0000 0.2500 x6
Pt 0.0000 0.0000 0.0000 x6
F 0.0000 0.3933 0.2500 x18

spin magnetization	0.002	μB/atom


Version B
Entry from OQMD: a relaxed AgPtF3 crystal (PBE-GGA).

Cell: 6.3468 6.3468 11.7825 Å, 90.00 90.00 120.00°
Space group R-3c (No. 167, hexagonal axes)
Asymmetric unit:
Ag 0.0000 0.0000 0.0000 x6
Pt 0.0000 0.0000 0.2500 x6
F 0.0000 0.3211 0.2500 x18

spin magnetization	0.400	μB/atom


Of them, version B has the lowest stability.


Version A
Entry from OQMD: a relaxed AgPtF3 crystal (PBE-GGA).

Cell: 5.9411 5.9411 14.8689 Å, 90.00 90.00 120.00°
Space group R-3 (No. 148, hexagonal axes)
Asymmetric unit:
Ag 0.0000 0.0000 0.1430 x6
Pt 0.0000 0.0000 0.3350 x6
F 0.0055 0.3535 0.0741 x18

spin magnetization	0.400	μB/atom


Version B
Entry from OQMD: a relaxed AgPtF3 crystal (PBE-GGA).

Cell: 6.711 6.791 5.955 Å, 90.00 90.00 90.00°
Space group Pnma (No. 62)
Asymmetric unit:
Ag 0.040 0.250 0.140 x4
Pt 0.000 0.000 0.500 x4
F 0.009 0.750 0.317 x4
F 0.207 0.518 0.983 x8

spin magnetization	0.000	μB/atom


Version C
Entry from OQMD: a relaxed AgPtF3 crystal (PBE-GGA).

Cell: 4.182 4.182 4.182 Å, 90.00 90.00 90.00°
Space group Pm-3m (No. 221)
Asymmetric unit:
Ag 0.000 0.000 0.000 x1
Pt 0.500 0.500 0.500 x1
F 0.000 0.500 0.500 x3

spin magnetization	0.001	μB/atom


Version D
Entry from OQMD: a relaxed AgPtF3 crystal (PBE-GGA).

Cell: 4.190 4.190 4.311 Å, 90.00 90.00 90.00°
Space group P4mm (No. 99)
Asymmetric unit:
Ag 0.000 0.000 0.000 x1
Pt 0.500 0.500 0.563 x1
F 0.000 0.500 0.582 x2
F 0.500 0.500 0.064 x1

spin magnetization	0.001	μB/atom


Of them, version C has the lowest stability.


Version A
Entry from OQMD: a relaxed AgPtF3 crystal (PBE-GGA).

Cell: 4.095 4.095 4.650 Å, 90.00 90.00 90.00°
Space group P4mm (No. 99)
Asymmetric unit:
Ag 0.000 0.000 0.000 x1
Pt 0.500 0.500 0.362 x1
F 0.000 0.000 0.562 x1
F 0.000 0.500 0.274 x2

spin magnetization	0.000	μB/atom


Version B
Entry from OQMD: a relaxed AgPtF3 crystal (PBE-GGA).

Cell: 4.169 4.169 4.169 Å, 90.00 90.00 90.00°
Space group Pm-3m (No. 221)
Asymmetric unit:
Ag 0.000 0.000 0.000 x1
Pt 0.500 0.500 0.500 x1
F 0.000 0.000 0.500 x3

spin magnetization	0.208	μB/atom


Of them, version B has the lowest stability.


Version A
Entry from OQMD: a relaxed RbAgF2 crystal (PBE-GGA).

Cell: 3.654 3.654 5.132 Å, 90.00 90.00 90.00°
Space group P4/mmm (No. 123)
Asymmetric unit:
Rb 0.000 0.000 0.000 x1
Ag 0.500 0.500 0.500 x1
F 0.000 0.000 0.500 x1
F 0.500 0.500 0.000 x1


Version B
Entry from OQMD: a relaxed RbAgF2 crystal (PBE-GGA).

Cell: 4.208 4.208 8.608 Å, 90.00 90.00 90.00°
Space group P4/nmm (No. 129, origin choice 2)
Asymmetric unit:
Rb 0.250 0.250 0.182 x2
Ag 0.250 0.250 0.621 x2
F 0.250 0.250 0.879 x2
F 0.250 0.750 0.500 x2


Of them, version A has the lowest stability.